This record from the Alexandria database describes Sc3BiB after structural relaxation. The functional is PBE.

Excess energy over the best structure of this formula in the dataset (meV/atom): 111.5
E (eV/f.u.): -31.827
Space-group type: No. 12
Crystal system: monoclinic

```
data_Sc3BiB
_chemical_formula_sum 'Sc6 Bi2 B2'
_space_group_name_H-M_alt 'P 1'
_space_group_IT_number 1
_cell_length_a 3.313
_cell_length_b 8.162
_cell_length_c 7.757
_cell_angle_alpha 91.97
_cell_angle_beta 102.34
_cell_angle_gamma 90.00
loop_
_space_group_symop_operation_xyz
'x,y,z'
loop_
_atom_site_label
_atom_site_fract_x
_atom_site_fract_y
_atom_site_fract_z
Sc1 0.936 0.562 0.838
Sc2 0.244 0.549 0.454
Bi1 0.360 0.864 0.686
Sc3 0.712 0.030 0.392
B1 0.207 0.258 0.381
B2 0.749 0.321 0.465
Sc4 0.020 0.016 0.008
Bi2 0.596 0.714 0.160
Sc5 0.371 0.245 0.708
Sc6 0.585 0.333 0.138
```

---

This record from the Alexandria database describes NaSbTe2Br after structural relaxation. The functional is PBE.

Excess energy over the best structure of this formula in the dataset (meV/atom): 0.0
E (eV/f.u.): -11.282
Space-group type: No. 123
Crystal system: tetragonal
Energy relative to the elements, uncorrected (eV/atom): 0.423

```
data_NaSbTe2Br
_chemical_formula_sum 'Na1 Sb1 Te2 Br1'
_space_group_name_H-M_alt 'P 1'
_space_group_IT_number 1
_cell_length_a 5.853
_cell_length_b 5.853
_cell_length_c 5.553
_cell_angle_alpha 90.00
_cell_angle_beta 90.00
_cell_angle_gamma 90.00
loop_
_space_group_symop_operation_xyz
'x,y,z'
loop_
_atom_site_label
_atom_site_fract_x
_atom_site_fract_y
_atom_site_fract_z
Te1 0.500 0.000 0.000
Br1 0.000 0.000 0.000
Sb1 0.000 0.000 0.500
Na1 0.500 0.500 0.500
Te2 0.000 0.500 0.000
```

---

This record from the Alexandria database describes RbAsS3 after structural relaxation. The functional is PBE.

E (eV/f.u.): -20.220
Space-group type: No. 11
Crystal system: monoclinic
Energy relative to the elements, uncorrected (eV/atom): -0.444

```
data_RbAsS3
_chemical_formula_sum 'Rb2 As2 S6'
_space_group_name_H-M_alt 'P 1'
_space_group_IT_number 1
_cell_length_a 6.956
_cell_length_b 8.037
_cell_length_c 7.282
_cell_angle_alpha 90.00
_cell_angle_beta 90.00
_cell_angle_gamma 54.15
loop_
_space_group_symop_operation_xyz
'x,y,z'
loop_
_atom_site_label
_atom_site_fract_x
_atom_site_fract_y
_atom_site_fract_z
S1 0.212 0.246 0.604
Rb1 0.717 0.257 0.750
As1 0.554 0.076 0.250
S2 0.788 0.754 0.396
S3 0.742 0.214 0.250
S4 0.258 0.786 0.750
Rb2 0.283 0.743 0.250
As2 0.446 0.924 0.750
S5 0.788 0.754 0.104
S6 0.212 0.246 0.896
```

---

This record from the Alexandria database describes Ir2Rh after structural relaxation. The functional is PBE.

Excess energy over the best structure of this formula in the dataset (meV/atom): 53.8
E (eV/f.u.): -24.963
Space-group type: No. 8
Crystal system: monoclinic

```
data_Ir2Rh
_chemical_formula_sum 'Ir4 Rh2'
_space_group_name_H-M_alt 'P 1'
_space_group_IT_number 1
_cell_length_a 5.226
_cell_length_b 5.226
_cell_length_c 10.492
_cell_angle_alpha 140.55
_cell_angle_beta 140.55
_cell_angle_gamma 30.29
loop_
_space_group_symop_operation_xyz
'x,y,z'
loop_
_atom_site_label
_atom_site_fract_x
_atom_site_fract_y
_atom_site_fract_z
Ir1 0.998 0.998 0.000
Ir2 0.111 0.111 0.721
Rh1 0.445 0.445 0.389
Ir3 0.336 0.336 0.668
Rh2 0.776 0.776 0.054
Ir4 0.667 0.667 0.333
```